No. 1
# TeIrRh2

A PBEsol-optimized structure of TeIrRh2 (SCAN, Alexandria via LeMat-Bulk).

POSCAR file:
```
TeIrRh2
1.0
4.621 0.000 0.000
0.000 3.008 0.000
-1.473 0.000 4.460
Te Ir Rh
1 1 2
direct
0.000 0.000 0.000 Te
0.000 0.500 0.500 Ir
0.500 0.000 0.500 Rh
0.500 0.500 0.000 Rh
```

energy relative to the elements, uncorrected	0.191	eV/atom
M_tot	0.000	μB per formula unit
energy	-43.78	eV per atom

=====

No. 2
# BeCoRu

A PBEsol-optimized structure of BeCoRu (SCAN, Alexandria via LeMat-Bulk).

POSCAR file:
```
BeCoRu
1.0
3.792 0.000 0.000
-1.896 3.284 0.000
0.000 0.000 2.524
Be Co Ru
1 1 1
direct
0.000 0.000 0.000 Be
0.333 0.667 0.000 Co
0.667 0.333 0.500 Ru
```

M_tot	1.810	μB per formula unit
formation energy	0.0195	eV/atom
energy above the lowest structure with this stoichiometry	139	meV per atom
energy	-18.81	eV per atom

=====

No. 3
# Zr4MnAl

A PBEsol-optimized structure of Zr4MnAl (SCAN, Alexandria via LeMat-Bulk).

POSCAR file:
```
Zr4MnAl
1.0
0.000 3.938 3.938
3.938 0.000 3.938
3.938 3.938 0.000
Zr Mn Al
4 1 1
direct
0.125 0.125 0.125 Zr
0.125 0.125 0.626 Zr
0.125 0.626 0.125 Zr
0.626 0.125 0.125 Zr
0.750 0.750 0.750 Mn
0.500 0.500 0.500 Al
```

M_tot	3.741	μB per formula unit
formation energy	0.3474	eV/atom
energy	-24.45	eV per atom

=====

No. 4
# MgMo2Os

A PBEsol-optimized structure of MgMo2Os (SCAN, Alexandria via LeMat-Bulk).

POSCAR file:
```
MgMo2Os
1.0
2.782 0.000 0.000
-1.391 2.410 0.000
0.000 0.000 27.916
Mg Mo Os
3 6 3
direct
0.000 0.000 0.000 Mg
0.333 0.667 0.667 Mg
0.667 0.333 0.333 Mg
0.000 0.000 0.243 Mo
0.000 0.000 0.492 Mo
0.333 0.667 0.159 Mo
0.333 0.667 0.910 Mo
0.667 0.333 0.577 Mo
0.667 0.333 0.825 Mo
0.000 0.000 0.750 Os
0.333 0.667 0.417 Os
0.667 0.333 0.083 Os
```

M_tot	0.000	μB per formula unit
formation energy	0.2609	eV/atom
energy	-36.40	eV per atom